Entry 1:
## B3PC (PBE-GGA)

Data for B3PC after structural relaxation.

Structure (extended XYZ):
```
15
Lattice="2.8696 0.0000 0.0000 -1.4348 2.4852 0.0000 0.0000 0.0000 18.0465" Properties=species:S:1:pos:R:3 pbc="T T T"
B 0.0000 1.6568 5.7276
B 0.0000 0.0000 11.7431
B 1.4348 0.8284 17.7586
B 0.0000 1.6568 2.9593
B 0.0000 0.0000 4.8472
C 1.4348 0.8284 9.2684
B 1.4348 0.8284 10.8627
P 1.4348 0.8284 12.7940
P 0.0000 1.6568 0.7630
B 0.0000 1.6568 16.8782
C 0.0000 0.0000 3.2529
C 0.0000 1.6568 15.2839
B 1.4348 0.8284 14.9902
B 0.0000 0.0000 8.9747
P 0.0000 0.0000 6.7785
```

Results
The formation energy from the elements is 0.35 eV per atom. The value obtained for the distance to the lowest polymorph of the same formula is 103 meV per atom.

Entry 2:
## HgTePtN2 (PBE-GGA)

Data for HgTePtN2 after structural relaxation.

Structure (extended XYZ):
```
5
Lattice="-0.3300 -3.9376 -0.2282 3.3215 -0.4009 2.1148 -3.3415 -0.0238 5.2437" Properties=species:S:1:pos:R:3 pbc="T T T"
N 1.6608 -0.2004 1.0574
N -0.1650 -1.9688 -0.1141
Pt 0.0000 0.0000 0.0000
Hg -0.1750 -2.1812 3.5652
Te -1.6708 -0.0119 2.6218
```

Results
The raw formation energy is 1.186 eV per atom. The value obtained for the distance to the lowest polymorph of the same formula is 0 meV per atom.

Entry 3:
## Li2CeBO4 (PBE-GGA)

Data for Li2CeBO4 after structural relaxation.

Structure (extended XYZ):
```
16
Lattice="3.1386 0.0000 0.0000 -1.5693 5.2985 0.0000 0.0000 0.0000 9.5263" Properties=species:S:1:pos:R:3 pbc="T T T"
O 0.0000 2.9745 3.5460
O 0.0000 0.0000 4.7631
Ce 1.5693 4.6547 2.3816
O 0.0000 0.0000 0.0000
B 1.5693 3.0216 7.1447
Li 1.5693 1.3514 4.3862
Li 1.5693 1.3514 0.3770
B 0.0000 2.2769 2.3816
O 0.0000 4.0627 7.1447
O 1.5693 2.3241 5.9803
Li 0.0000 3.9471 5.1401
Ce 0.0000 0.6439 7.1447
O 1.5693 2.3241 8.3092
O 1.5693 1.2359 2.3816
O 0.0000 2.9745 1.2171
Li 0.0000 3.9471 9.1493
```

Results
The raw formation energy is -2.322 eV per atom.

Entry 4:
## Ta2Sn2Au (PBE-GGA)

Data for Ta2Sn2Au after structural relaxation.

Structure (extended XYZ):
```
5
Lattice="3.9202 0.0000 0.0000 0.0000 3.9202 0.0000 1.9601 1.9601 7.2347" Properties=species:S:1:pos:R:3 pbc="T T T"
Ta 1.9601 3.9202 3.6174
Sn 1.9601 1.9601 1.4027
Au 0.0000 0.0000 0.0000
Ta 3.9202 1.9601 3.6174
Sn 3.9202 3.9202 5.8320
```

Results
The formation energy from the elements is 0.54 eV per atom. The value obtained for the distance to the lowest polymorph of the same formula is 352 meV per atom.